1.
## Al3VSi (PBE)

Data for a relaxed structure of Al3VSi.

Output
Formation energy without anion corrections, eV per atom: 0.89
Distance to the lowest polymorph of the same formula, eV per atom: 0.000
Space-group type: Pm-3m (221)

Lattice parameters (Å, degrees): 4.7553 4.7553 4.7553 90.00 90.00 90.00
Sites, in units of the cell vectors:
Al 0.0000 0.0000 0.5000
Al 0.0000 0.5000 0.0000
Al 0.5000 0.0000 0.0000
V 0.5000 0.5000 0.5000
Si 0.0000 0.0000 0.0000


2.
## ZnCuIrW2 (PBE)

Data for a relaxed structure of ZnCuIrW2.

Output
Space-group type: P4/mmm (123)
DFT formation energy, meV/atom: 1551

Lattice parameters (Å, degrees): 4.5228 4.5228 4.1645 90.00 90.00 90.00
Sites, in units of the cell vectors:
Zn 0.0000 0.0000 0.0000
Cu 0.0000 0.0000 0.5000
Ir 0.5000 0.5000 0.0000
W 0.0000 0.5000 0.5000
W 0.5000 0.0000 0.5000


3.
## AlOsPt (PBE)

Data for a relaxed structure of AlOsPt.

Output
Distance to the lowest polymorph of the same formula, eV per atom: 0.351
Space-group type: F-43m (216)
DFT formation energy, meV/atom: 53

Lattice parameters (Å, degrees): 4.1006 4.1006 4.1006 60.00 60.00 60.00
Sites, in units of the cell vectors:
Al 0.0000 0.0000 0.0000
Os 0.2500 0.2500 0.2500
Pt 0.7500 0.7500 0.7500


How do the records compare in VASP energy? In the order shown, they have -21.30 -32.38 -20.85 eV/cell.